Material: Li2V4O5F8
Method: DFT, PBE with a Hubbard U
State: relaxed

Calculated values
Total DFT energy (no corrections) (eV/atom): -6.30
Volume (Å³/cell): 479

Cell lengths 12.2636, 3.7598, 10.5493 Å; angles 90.00, 99.95, 90.00 degrees
Closest atoms and distances in Å follow each position.
Space group C2/m (No. 12)
Inequivalent atoms, fractional coordinates:
Li 0.0805 0.0000 0.1439 (multiplicity 4)  4 F 1.81-1.98
V 0.1474 0.0000 0.4977 (multiplicity 4)  3 O 1.81-1.93, 1 F 1.87
V 0.2219 0.0000 0.8863 (multiplicity 4)  3 F 1.85-1.91, 3 O 1.92-2.00
O 0.0000 0.0000 0.5000 (multiplicity 2)  2 V 1.81
O 0.1821 0.5000 0.5068 (multiplicity 4)  3 V 1.93-2.10
O 0.2413 0.5000 0.9218 (multiplicity 4)  3 V 1.92-2.00
F 0.0741 0.0000 0.9011 (multiplicity 4)  1 V 1.85, 1 Li 1.87
F 0.1217 0.0000 0.3176 (multiplicity 4)  1 Li 1.81, 1 V 1.87
F 0.1252 0.5000 0.1230 (multiplicity 4)  1 V 1.89, 2 Li 1.98
F 0.1797 0.0000 0.7034 (multiplicity 4)  2 V 1.91-2.14